1.
La2SiO PBEsol relaxed; symmetry = I-42d; E_form (uncorrected) = -616 kJ/mol of formula units; E = -7.018 eV per atom
1.0
7.024 0.000 0.000
0.000 7.024 0.000
0.000 0.000 7.731
La Si O
8 4 4
Direct
0.180 0.250 0.125
0.250 0.680 0.375
0.250 0.820 0.875
0.320 0.250 0.625
0.680 0.750 0.625
0.750 0.180 0.875
0.750 0.320 0.375
0.820 0.750 0.125
0.000 0.000 0.500
0.000 0.500 0.750
0.500 0.000 0.250
0.500 0.500 0.000
0.000 0.000 0.000
0.000 0.500 0.250
0.500 0.000 0.750
0.500 0.500 0.500

***

2.
TaW2Au PBEsol relaxed; symmetry = P2/m; E above lowest polymorph = 92.0 meV/atom; ΔE_f = 0.247 eV per atom; E = -10.775 eV per atom
1.0
2.720 0.000 0.000
0.000 4.675 0.000
-0.625 0.000 5.157
Ta W Au
1 2 1
Direct
0.000 0.000 0.000
0.268 0.500 0.758
0.732 0.500 0.242
0.500 0.000 0.500

***

3.
InCu2Cl PBEsol relaxed; symmetry = Imm2; E_form (uncorrected) = 28 kJ/mol of formula units; E = -3.343 eV per atom
1.0
3.153 0.000 0.000
0.000 3.392 0.000
0.000 0.000 13.397
In Cu Cl
2 4 2
Direct
0.000 0.000 0.000
0.500 0.500 0.500
0.000 0.000 0.588
0.000 0.500 0.222
0.500 0.000 0.722
0.500 0.500 0.088
0.000 0.500 0.806
0.500 0.000 0.306